one | This record from Alexandria via LeMat-Bulk describes a relaxed structure of YScMo. The functional is PBE.

Magnetization ... 0.00 μB/atom

Cell lengths 6.207, 10.178, 8.732 Å; angles 90.00, 90.00, 90.00 degrees
Space group Cmce (No. 64)
One atom of each set of equivalent atoms:
Y1 0.000 0.161 0.070 (multiplicity 8)
Sc1 0.250 0.105 0.750 (multiplicity 8)
Mo1 0.000 0.082 0.392 (multiplicity 8)


two | This record from Alexandria via LeMat-Bulk describes a relaxed structure of YScMo. The functional is PBE.

Magnetization ... 0.00 μB/atom

Cell lengths 3.756, 5.022, 14.656 Å; angles 90.00, 90.00, 90.00 degrees
Space group Fmm2 (No. 42)
One atom of each set of equivalent atoms:
Y1 0.000 0.000 0.000 (multiplicity 4)
Sc1 0.000 0.000 0.713 (multiplicity 4)
Mo1 0.000 0.000 0.348 (multiplicity 4)


three | This record from Alexandria via LeMat-Bulk describes a relaxed structure of YScMo. The functional is PBE.

Magnetization ... 0.00 μB/atom

Cell lengths 6.707, 6.707, 6.707 Å; angles 90.00, 90.00, 90.00 degrees
Space group F-43m (No. 216)
One atom of each set of equivalent atoms:
Y1 0.000 0.000 0.000 (multiplicity 4)
Sc1 0.000 0.000 0.500 (multiplicity 4)
Mo1 0.250 0.250 0.750 (multiplicity 4)


four | This record from Alexandria via LeMat-Bulk describes a relaxed structure of YScMo. The functional is PBE.

Magnetization ... 0.00 μB/atom

Cell lengths 4.9247, 4.9247, 3.1683 Å; angles 90.00, 90.00, 120.00 degrees
Space group P-6m2 (No. 187)
One atom of each set of equivalent atoms:
Y1 0.0000 0.0000 0.0000 (multiplicity 1)
Sc1 0.6667 0.3333 0.5000 (multiplicity 1)
Mo1 0.3333 0.6667 0.5000 (multiplicity 1)


Most stable of them? one.


one | This record from Alexandria via LeMat-Bulk describes a relaxed structure of YScMo. The functional is PBE.

Magnetization ... 0.00 μB/atom

Cell lengths 3.478, 3.478, 11.449 Å; angles 90.00, 90.00, 90.00 degrees
Space group I4mm (No. 107)
One atom of each set of equivalent atoms:
Y1 0.000 0.000 0.000 (multiplicity 2)
Sc1 0.000 0.000 0.279 (multiplicity 2)
Mo1 0.000 0.000 0.658 (multiplicity 2)


two | This record from Alexandria via LeMat-Bulk describes a relaxed structure of YScMo. The functional is PBE.

Magnetization ... 0.05 μB/atom

Cell lengths 3.3583, 3.3583, 7.2058 Å; angles 90.00, 90.00, 120.00 degrees
Space group P3m1 (No. 156)
One atom of each set of equivalent atoms:
Y1 0.0000 0.0000 0.0000 (multiplicity 1)
Sc1 0.3333 0.6667 0.5762 (multiplicity 1)
Mo1 0.6667 0.3333 0.3035 (multiplicity 1)


Most stable of them? one.


one | This record from Alexandria via LeMat-Bulk describes a relaxed structure of Y2ScMo. The functional is PBE.

Magnetization ... 0.00 μB/atom

Cell lengths 7.257, 7.257, 7.257 Å; angles 90.00, 90.00, 90.00 degrees
Space group Fm-3m (No. 225)
One atom of each set of equivalent atoms:
Y1 0.250 0.250 0.250 (multiplicity 8)
Sc1 0.000 0.000 0.000 (multiplicity 4)
Mo1 0.000 0.000 0.500 (multiplicity 4)


two | This record from Alexandria via LeMat-Bulk describes a relaxed structure of Y2ScMo. The functional is PBE.

Magnetization ... 0.00 μB/atom

Cell lengths 3.649, 5.338, 10.243 Å; angles 90.00, 90.00, 90.00 degrees
Space group Imm2 (No. 44)
One atom of each set of equivalent atoms:
Y1 0.000 0.000 0.000 (multiplicity 2)
Y2 0.000 0.500 0.208 (multiplicity 2)
Sc1 0.000 0.000 0.421 (multiplicity 2)
Mo1 0.000 0.500 0.731 (multiplicity 2)


three | This record from Alexandria via LeMat-Bulk describes a relaxed structure of Y2ScMo. The functional is PBE.

Magnetization ... 0.00 μB/atom

Cell lengths 3.619, 3.619, 7.763 Å; angles 90.00, 90.00, 90.00 degrees
Space group P4mm (No. 99)
One atom of each set of equivalent atoms:
Y1 0.000 0.000 0.000 (multiplicity 1)
Y2 0.500 0.500 0.349 (multiplicity 1)
Sc1 0.500 0.500 0.740 (multiplicity 1)
Mo1 0.000 0.000 0.588 (multiplicity 1)


Most stable of them? three.


one | This record from Alexandria via LeMat-Bulk describes a relaxed structure of Y2ScMo. The functional is PBE.

Magnetization ... 0.00 μB/atom

Cell lengths 4.685, 4.685, 8.729 Å; angles 90.00, 90.00, 90.00 degrees
Space group I-4m2 (No. 119)
One atom of each set of equivalent atoms:
Y1 0.000 0.000 0.000 (multiplicity 2)
Y2 0.000 0.500 0.250 (multiplicity 2)
Sc1 0.000 0.000 0.500 (multiplicity 2)
Mo1 0.000 0.500 0.750 (multiplicity 2)


two | This record from Alexandria via LeMat-Bulk describes a relaxed structure of Y2ScMo. The functional is PBE.

Magnetization ... 0.00 μB/atom

Cell lengths 3.266, 4.900, 6.352 Å; angles 90.00, 104.71, 90.00 degrees
Space group Pm (No. 6)
One atom of each set of equivalent atoms:
Y1 0.000 0.000 0.000 (multiplicity 1)
Y2 0.349 0.500 0.685 (multiplicity 1)
Sc1 0.736 0.000 0.443 (multiplicity 1)
Mo1 0.592 0.500 0.225 (multiplicity 1)


Most stable of them? two.


one | This record from Alexandria via LeMat-Bulk describes a relaxed structure of ScZnMo2. The functional is PBE.

Magnetization ... 0.00 μB/atom

Cell lengths 2.8979, 2.8979, 28.0019 Å; angles 90.00, 90.00, 120.00 degrees
Space group R-3m (No. 166, hexagonal axes)
One atom of each set of equivalent atoms:
Sc1 0.0000 0.0000 0.0000 (multiplicity 3)
Zn1 0.0000 0.0000 0.5000 (multiplicity 3)
Mo1 0.0000 0.0000 0.2460 (multiplicity 6)


two | This record from Alexandria via LeMat-Bulk describes a relaxed structure of ScZnMo2. The functional is PBE.

Magnetization ... 0.00 μB/atom

Cell lengths 5.501, 9.323, 2.729 Å; angles 90.00, 108.60, 90.00 degrees
Space group C2/m (No. 12)
One atom of each set of equivalent atoms:
Sc1 0.000 0.000 0.000 (multiplicity 2)
Zn1 0.000 0.500 0.000 (multiplicity 2)
Mo1 0.250 0.250 0.500 (multiplicity 4)


Most stable of them? two.


one | This record from Alexandria via LeMat-Bulk describes a relaxed structure of ScZnMo2. The functional is PBE.

Magnetization ... 0.00 μB/atom

Cell lengths 2.728, 4.541, 5.458 Å; angles 90.00, 90.00, 90.00 degrees
Space group Pmmm (No. 47)
One atom of each set of equivalent atoms:
Sc1 0.000 0.000 0.000 (multiplicity 1)
Zn1 0.000 0.000 0.500 (multiplicity 1)
Mo1 0.500 0.500 0.244 (multiplicity 2)


two | This record from Alexandria via LeMat-Bulk describes a relaxed structure of ScZnMo2. The functional is PBE.

Magnetization ... 0.00 μB/atom

Cell lengths 2.803, 4.314, 5.710 Å; angles 90.00, 101.50, 90.00 degrees
Space group Pm (No. 6)
One atom of each set of equivalent atoms:
Sc1 0.000 0.000 0.000 (multiplicity 1)
Zn1 0.599 0.500 0.261 (multiplicity 1)
Mo1 0.166 0.000 0.519 (multiplicity 1)
Mo2 0.505 0.500 0.734 (multiplicity 1)


Most stable of them? two.